(1)
Computed, not measured: a relaxed structure of CuSi2Au at the GGA-PBE level of DFT.

Unit cell a=4.247 b=4.247 c=5.177 alpha=78.61 beta=78.61 gamma=41.30
Sites, in units of the cell vectors:
Si 0.998 0.998 0.031
Si 0.502 0.502 0.469
Cu 0.250 0.250 0.250
Au 0.750 0.750 0.750

Values from the calculation:
Energy relative to the lowest polymorph listed for this composition (kcal/mol of atoms): 2.83
Size of the total moment (μB per formula unit): 0.0
Energy relative to the elements, uncorrected (eV per atom): 0.139
Raw total energy (eV/f.u.): -17.66
ρ (g cm⁻³): 8.73

***

(2)
Computed, not measured: a relaxed structure of Cu3Si2Au6 at the GGA-PBE level of DFT.

Unit cell a=4.018 b=4.018 c=12.378 alpha=99.34 beta=99.34 gamma=90.00
Sites, in units of the cell vectors:
Au 0.572 0.072 0.144
Au 0.261 0.261 0.522
Si 0.640 0.640 0.280
Cu 0.153 0.153 0.306
Cu 0.000 0.000 0.000
Au 0.072 0.572 0.144
Au 0.428 0.928 0.856
Au 0.739 0.739 0.478
Si 0.360 0.360 0.720
Cu 0.847 0.847 0.694
Au 0.928 0.428 0.856

Values from the calculation:
Size of the total moment (μB per formula unit): 0.0
Energy relative to the elements, uncorrected (eV per atom): 0.161
Raw total energy (eV/f.u.): -41.03
ρ (g cm⁻³): 12.20

***

(3)
Computed, not measured: a relaxed structure of CuSi2Au at the GGA-PBE level of DFT.

Unit cell a=3.061 b=3.543 c=6.074 alpha=73.00 beta=90.00 gamma=90.00
Sites, in units of the cell vectors:
Cu 0.500 0.670 0.779
Si 0.500 0.471 0.191
Au 0.000 0.290 0.541
Si 0.000 0.069 0.989

Values from the calculation:
Energy relative to the lowest polymorph listed for this composition (kcal/mol of atoms): 3.38
Size of the total moment (μB per formula unit): 0.0
Energy relative to the elements, uncorrected (eV per atom): 0.164
Raw total energy (eV/f.u.): -17.57
ρ (g cm⁻³): 8.35

***

(4)
Computed, not measured: a relaxed structure of Cu6SiAu3 at the GGA-PBE level of DFT.

Unit cell a=3.908 b=8.202 c=8.817 alpha=95.85 beta=90.00 gamma=90.00
Sites, in units of the cell vectors:
Cu 0.750 0.790 0.509
Cu 0.250 0.210 0.491
Au 0.250 0.556 0.403
Cu 0.250 0.449 0.102
Au 0.750 0.444 0.597
Si 0.250 0.933 0.628
Cu 0.750 0.956 0.108
Cu 0.250 0.044 0.892
Cu 0.750 0.343 0.299
Cu 0.750 0.115 0.666
Cu 0.250 0.885 0.334
Au 0.250 0.757 0.998
Si 0.750 0.067 0.372
Au 0.750 0.243 0.002
Au 0.250 0.341 0.794
Cu 0.250 0.150 0.195
Cu 0.750 0.850 0.805
Cu 0.750 0.551 0.898
Au 0.750 0.659 0.206
Cu 0.250 0.657 0.701

Values from the calculation:
Size of the total moment (μB per formula unit): 0.0
Energy relative to the elements, uncorrected (eV per atom): -0.025
Raw total energy (eV/f.u.): -40.08
ρ (g cm⁻³): 11.82

***

(5)
Computed, not measured: a relaxed structure of CuSi2Au at the GGA-PBE level of DFT.

Unit cell a=7.866 b=7.866 c=7.866 alpha=22.22 beta=22.22 gamma=22.22
Sites, in units of the cell vectors:
Si 0.006 0.006 0.006
Si 0.494 0.494 0.494
Cu 0.750 0.750 0.750
Au 0.250 0.250 0.250

Values from the calculation:
Energy relative to the lowest polymorph listed for this composition (kcal/mol of atoms): 4.09
Size of the total moment (μB per formula unit): 0.0
Energy relative to the elements, uncorrected (eV per atom): 0.194
Raw total energy (eV/f.u.): -17.44
ρ (g cm⁻³): 8.62

***

(6)
Computed, not measured: a relaxed structure of CuSiAu3 at the GGA-PBE level of DFT.

Unit cell a=4.736 b=4.736 c=4.736 alpha=90.00 beta=90.00 gamma=90.00
Sites, in units of the cell vectors:
Cu 0.500 0.500 0.500
Au 0.000 0.500 0.000
Au 0.500 0.000 0.000
Si 0.000 0.000 0.000
Au 0.000 0.000 0.500

Values from the calculation:
Energy relative to the lowest polymorph listed for this composition (kcal/mol of atoms): 10.12
Size of the total moment (μB per formula unit): 0.0
Energy relative to the elements, uncorrected (eV per atom): 0.463
Raw total energy (eV/f.u.): -17.04
ρ (g cm⁻³): 10.67

***

(7)
Computed, not measured: a relaxed structure of Cu12Si5Au3 at the GGA-PBE level of DFT.

Unit cell a=12.216 b=12.216 c=12.216 alpha=109.47 beta=109.47 gamma=109.47
Sites, in units of the cell vectors:
Cu 0.945 0.579 0.163
Cu 0.837 0.921 0.055
Si 0.000 0.000 0.000
Si 0.500 0.500 0.000
Cu 0.421 0.055 0.337
Au 0.875 0.125 0.250
Si 0.000 0.000 0.500
Cu 0.584 0.718 0.663
Si 0.625 0.875 0.250
Cu 0.663 0.218 0.584
Cu 0.945 0.366 0.282
Au 0.125 0.250 0.875
Cu 0.416 0.282 0.337
Si 0.375 0.250 0.125
Cu 0.218 0.555 0.634
Au 0.250 0.625 0.875
Au 0.625 0.250 0.375
Cu 0.718 0.134 0.055
Au 0.375 0.750 0.625
Au 0.375 0.625 0.250
Cu 0.921 0.084 0.866
Cu 0.337 0.555 0.421
Au 0.250 0.125 0.375
Cu 0.218 0.663 0.084
Cu 0.163 0.079 0.945
Si 0.250 0.875 0.125
Cu 0.718 0.584 0.163
Au 0.625 0.375 0.750
Au 0.750 0.875 0.625
Cu 0.866 0.584 0.921
Cu 0.282 0.866 0.945
Cu 0.055 0.634 0.718
Cu 0.921 0.837 0.555
Cu 0.416 0.134 0.579
Cu 0.084 0.163 0.218
Cu 0.134 0.416 0.079
Cu 0.079 0.163 0.445
Si 0.750 0.125 0.875
Si 0.500 0.000 0.000
Cu 0.366 0.421 0.084
Au 0.750 0.375 0.125
Cu 0.634 0.579 0.916
Cu 0.163 0.084 0.718
Si 0.625 0.750 0.875
Cu 0.916 0.837 0.782
Cu 0.555 0.337 0.921
Si 0.875 0.250 0.625
Cu 0.445 0.663 0.079
Cu 0.579 0.634 0.416
Si 0.000 0.500 0.000
Si 0.250 0.375 0.625
Cu 0.663 0.445 0.579
Si 0.375 0.125 0.750
Cu 0.782 0.337 0.916
Si 0.125 0.375 0.250
Au 0.125 0.875 0.750
Si 0.875 0.625 0.750
Cu 0.055 0.421 0.837
Si 0.500 0.000 0.500
Si 0.750 0.625 0.375
Si 0.125 0.750 0.375
Cu 0.337 0.782 0.416
Cu 0.916 0.079 0.634
Cu 0.837 0.916 0.282
Cu 0.782 0.445 0.366
Cu 0.634 0.055 0.218
Au 0.875 0.750 0.125
Cu 0.421 0.366 0.584
Cu 0.084 0.921 0.366
Si 0.500 0.500 0.500
Cu 0.079 0.916 0.134
Cu 0.366 0.945 0.782
Cu 0.579 0.945 0.663
Cu 0.555 0.218 0.134
Cu 0.866 0.282 0.445
Cu 0.584 0.866 0.421
Cu 0.282 0.416 0.837
Cu 0.134 0.718 0.555
Cu 0.445 0.782 0.866
Si 0.000 0.500 0.500

Values from the calculation:
Size of the total moment (μB per formula unit): 0.0
Energy relative to the elements, uncorrected (eV per atom): 0.412
Raw total energy (eV/f.u.): -77.87
ρ (g cm⁻³): 7.07

***

(8)
Computed, not measured: a relaxed structure of CuSiAu3 at the GGA-PBE level of DFT.

Unit cell a=4.760 b=4.760 c=4.760 alpha=90.00 beta=90.00 gamma=90.00
Sites, in units of the cell vectors:
Au 0.000 0.000 0.500
Cu 0.000 0.000 0.000
Au 0.000 0.500 0.000
Si 0.500 0.500 0.500
Au 0.500 0.000 0.000

Values from the calculation:
Energy relative to the lowest polymorph listed for this composition (kcal/mol of atoms): 16.93
Size of the total moment (μB per formula unit): 0.0
Energy relative to the elements, uncorrected (eV per atom): 0.758
Raw total energy (eV/f.u.): -15.56
ρ (g cm⁻³): 10.51

***

(9)
Computed, not measured: a relaxed structure of CuSiAu2 at the GGA-PBE level of DFT.

Unit cell a=8.533 b=8.533 c=8.533 alpha=20.14 beta=20.14 gamma=20.14
Sites, in units of the cell vectors:
Si 0.750 0.750 0.750
Cu 0.250 0.250 0.250
Au 0.500 0.500 0.500
Au 0.000 0.000 0.000

Values from the calculation:
Size of the total moment (μB per formula unit): 0.0
Energy relative to the elements, uncorrected (eV per atom): 0.119
Raw total energy (eV/f.u.): -15.60
ρ (g cm⁻³): 12.51

***

(10)
Computed, not measured: a relaxed structure of Cu7Si2Au at the GGA-PBE level of DFT.

Unit cell a=4.148 b=6.712 c=6.712 alpha=120.00 beta=90.00 gamma=90.00
Sites, in units of the cell vectors:
Cu 0.000 0.781 0.219
Si 0.500 0.303 0.697
Au 0.000 0.000 0.000
Si 0.500 0.697 0.303
Cu 0.500 0.067 0.299
Cu 0.500 0.299 0.067
Cu 0.000 0.219 0.781
Cu 0.500 0.701 0.933
Cu 0.500 0.933 0.701
Cu 0.500 0.500 0.500

Values from the calculation:
Size of the total moment (μB per formula unit): 0.0
Energy relative to the elements, uncorrected (eV per atom): 0.200
Raw total energy (eV/f.u.): -40.80
ρ (g cm⁻³): 7.16

***

(11)
Computed, not measured: a relaxed structure of CuSiAu2 at the GGA-PBE level of DFT.

Unit cell a=5.187 b=5.187 c=5.187 alpha=141.86 beta=131.92 gamma=62.96
Sites, in units of the cell vectors:
Si 0.253 0.753 0.500
Au 0.754 0.254 0.500
Au 0.026 0.026 0.000
Cu 0.467 0.467 0.000

Values from the calculation:
Size of the total moment (μB per formula unit): 0.0
Energy relative to the elements, uncorrected (eV per atom): 0.080
Raw total energy (eV/f.u.): -15.75
ρ (g cm⁻³): 12.73

***

(12)
Computed, not measured: a relaxed structure of Cu7Si2Au3 at the GGA-PBE level of DFT.

Unit cell a=2.812 b=4.388 c=14.745 alpha=110.04 beta=90.00 gamma=90.00
Sites, in units of the cell vectors:
Au 0.000 0.890 0.632
Cu 0.000 0.000 0.000
Si 0.500 0.546 0.290
Si 0.500 0.454 0.710
Cu 0.000 0.531 0.159
Au 0.000 0.110 0.368
Au 0.500 0.500 0.000
Cu 0.500 0.300 0.543
Cu 0.000 0.469 0.841
Cu 0.500 0.700 0.457
Cu 0.500 0.032 0.160
Cu 0.500 0.968 0.840

Values from the calculation:
Size of the total moment (μB per formula unit): 0.0
Energy relative to the elements, uncorrected (eV per atom): 0.060
Raw total energy (eV/f.u.): -48.63
ρ (g cm⁻³): 10.61

***

(13)
Computed, not measured: a relaxed structure of Cu3SiAu2 at the GGA-PBE level of DFT.

Unit cell a=4.167 b=4.986 c=5.211 alpha=66.82 beta=66.44 gamma=65.30
Sites, in units of the cell vectors:
Si 0.161 0.330 0.347
Au 0.533 0.222 0.712
Cu 0.168 0.769 0.894
Cu 0.824 0.225 0.127
Au 0.468 0.797 0.267
Cu 0.845 0.657 0.653

Values from the calculation:
Size of the total moment (μB per formula unit): 0.0
Energy relative to the elements, uncorrected (eV per atom): 0.021
Raw total energy (eV/f.u.): -24.14
ρ (g cm⁻³): 11.73

***

(14)
Computed, not measured: a relaxed structure of CuSi2Au at the GGA-PBE level of DFT.

Unit cell a=4.142 b=3.937 c=4.471 alpha=104.83 beta=90.00 gamma=90.00
Sites, in units of the cell vectors:
Si 0.000 0.062 0.918
Cu 0.500 0.750 0.750
Si 0.000 0.438 0.582
Au 0.500 0.250 0.250

Values from the calculation:
Energy relative to the lowest polymorph listed for this composition (kcal/mol of atoms): 0.00
Size of the total moment (μB per formula unit): 0.0
Energy relative to the elements, uncorrected (eV per atom): 0.017
Raw total energy (eV/f.u.): -18.15
ρ (g cm⁻³): 7.46

***

(15)
Computed, not measured: a relaxed structure of CuSiAu2 at the GGA-PBE level of DFT.

Unit cell a=4.836 b=4.836 c=4.409 alpha=71.66 beta=71.66 gamma=40.62
Sites, in units of the cell vectors:
Au 0.983 0.983 0.046
Si 0.237 0.237 0.232
Cu 0.520 0.520 0.509
Au 0.761 0.761 0.713

Values from the calculation:
Size of the total moment (μB per formula unit): 0.0
Energy relative to the elements, uncorrected (eV per atom): 0.073
Raw total energy (eV/f.u.): -15.78
ρ (g cm⁻³): 12.75

***

(16)
Computed, not measured: a relaxed structure of CuSi2Au at the GGA-PBE level of DFT.

Unit cell a=2.802 b=2.802 c=7.609 alpha=90.00 beta=90.00 gamma=90.00
Sites, in units of the cell vectors:
Au 0.000 0.000 0.510
Si 0.500 0.500 0.235
Si 0.000 0.000 0.981
Cu 0.500 0.500 0.775

Values from the calculation:
Energy relative to the lowest polymorph listed for this composition (kcal/mol of atoms): 4.94
Size of the total moment (μB per formula unit): 0.0
Energy relative to the elements, uncorrected (eV per atom): 0.231
Raw total energy (eV/f.u.): -17.29
ρ (g cm⁻³): 8.81

***

(17)
Computed, not measured: a relaxed structure of Cu2SiAu3 at the GGA-PBE level of DFT.

Unit cell a=5.031 b=5.728 c=7.038 alpha=90.04 beta=110.94 gamma=90.00
Sites, in units of the cell vectors:
Au 0.256 0.249 0.382
Au 0.126 0.749 0.382
Au 0.785 0.250 0.000
Au 0.215 0.750 0.000
Si 0.277 0.250 0.000
Cu 0.365 0.500 0.728
Si 0.723 0.750 0.000
Cu 0.635 0.500 0.272
Au 0.744 0.751 0.618
Cu 0.637 0.000 0.272
Au 0.874 0.251 0.618
Cu 0.363 0.000 0.728

Values from the calculation:
Size of the total moment (μB per formula unit): 0.0
Energy relative to the elements, uncorrected (eV per atom): 0.015
Raw total energy (eV/f.u.): -23.36
ρ (g cm⁻³): 13.08

***

(18)
Computed, not measured: a relaxed structure of Cu2SiAu4 at the GGA-PBE level of DFT.

Unit cell a=6.199 b=5.598 c=7.449 alpha=90.00 beta=115.62 gamma=90.00
Sites, in units of the cell vectors:
Au 0.968 0.250 0.190
Au 0.032 0.750 0.810
Cu 0.800 0.750 0.032
Cu 0.563 0.750 0.535
Cu 0.437 0.250 0.465
Si 0.775 0.250 0.815
Au 0.426 0.501 0.775
Au 0.574 0.499 0.225
Si 0.225 0.750 0.185
Au 0.052 0.750 0.431
Au 0.574 0.001 0.225
Cu 0.200 0.250 0.968
Au 0.948 0.250 0.569
Au 0.426 0.999 0.775

Values from the calculation:
Size of the total moment (μB per formula unit): 0.0
Energy relative to the elements, uncorrected (eV per atom): 0.041
Raw total energy (eV/f.u.): -26.44
ρ (g cm⁻³): 13.44

***

(19)
Computed, not measured: a relaxed structure of CuSi2Au at the GGA-PBE level of DFT.

Unit cell a=5.935 b=5.935 c=5.935 alpha=153.71 beta=136.01 gamma=51.98
Sites, in units of the cell vectors:
Si 0.452 0.452 0.000
Si 0.048 0.048 0.000
Cu 0.250 0.750 0.500
Au 0.750 0.250 0.500

Values from the calculation:
Energy relative to the lowest polymorph listed for this composition (kcal/mol of atoms): 6.35
Size of the total moment (μB per formula unit): 0.0
Energy relative to the elements, uncorrected (eV per atom): 0.292
Raw total energy (eV/f.u.): -17.05
ρ (g cm⁻³): 8.21

***

(20)
Computed, not measured: a relaxed structure of CuSi2Au at the GGA-PBE level of DFT.

Unit cell a=3.532 b=3.532 c=4.922 alpha=90.00 beta=90.00 gamma=90.00
Sites, in units of the cell vectors:
Si 0.000 0.000 0.005
Si 0.500 0.500 0.232
Cu 0.500 0.500 0.753
Au 0.000 0.000 0.510

Values from the calculation:
Energy relative to the lowest polymorph listed for this composition (kcal/mol of atoms): 3.90
Size of the total moment (μB per formula unit): 0.0
Energy relative to the elements, uncorrected (eV per atom): 0.186
Raw total energy (eV/f.u.): -17.47
ρ (g cm⁻³): 8.56